Material: ErCuSnSe3
Method: DFT, PBE
State: optimized geometry

Output
Formation energy (no corrections) ... -0.938 eV/atom

Lattice parameters (Å, degrees): 8.460 4.019 8.963 90.00 103.84 90.00
Space group P2_1/m (No. 11)
Asymmetric unit:
Er: 0.173 0.250 0.168 x2
Cu: 0.421 0.750 0.419 x2
Sn: 0.315 0.750 0.760 x2
Se: 0.067 0.250 0.838 x2
Se: 0.272 0.250 0.491 x2
Se: 0.400 0.750 0.135 x2

Material: SrErCuSe3
Method: DFT, PBE
State: optimized geometry

Output
Formation energy (no corrections) ... -1.543 eV/atom

Lattice parameters (Å, degrees): 8.523 4.074 9.073 90.00 104.25 90.00
Space group P2_1/m (No. 11)
Asymmetric unit:
Sr: 0.191 0.250 0.243 x2
Er: 0.325 0.750 0.834 x2
Cu: 0.080 0.250 0.584 x2
Se: 0.102 0.250 0.864 x2
Se: 0.225 0.750 0.516 x2
Se: 0.439 0.750 0.163 x2

Material: Sr3Er3CuSe8
Method: DFT, PBE
State: optimized geometry

Output
Formation energy (no corrections) ... -1.653 eV/atom

Lattice parameters (Å, degrees): 14.350 8.284 8.518 90.00 124.17 90.00
Space group C2/m (No. 12)
Asymmetric unit:
Sr: 0.000 0.000 0.000 x2
Sr: 0.250 0.250 0.000 x4
Er: 0.000 0.500 0.500 x2
Er: 0.250 0.250 0.500 x4
Cu: 0.000 0.000 0.500 x2
Se: 0.010 0.249 0.281 x8
Se: 0.238 0.000 0.718 x4
Se: 0.243 0.500 0.728 x4

Material: SrErCu2Se4
Method: DFT, PBE
State: optimized geometry

Output
Formation energy (no corrections) ... -1.010 eV/atom

Lattice parameters (Å, degrees): 6.956 6.956 8.142 90.00 90.00 90.00
Space group I-42m (No. 121)
Asymmetric unit:
Sr: 0.000 0.000 0.000 x2
Er: 0.000 0.000 0.500 x2
Cu: 0.000 0.500 0.250 x4
Se: 0.221 0.221 0.292 x8